This record from Alexandria describes a geometry-optimized LiIr2Pd2 structure. The functional is PBE-GGA.

Unit cell a=7.7470 b=7.7470 c=2.7358 alpha=90.00 beta=90.00 gamma=90.00
Fractional positions:
Pd1 0.6837 0.8163 0.5000
Ir1 0.6157 0.1157 0.0000
Pd2 0.1837 0.6837 0.5000
Li1 0.5000 0.5000 0.0000
Pd3 0.8163 0.3163 0.5000
Ir2 0.8843 0.6157 0.0000
Ir3 0.1157 0.3843 0.0000
Li2 0.0000 0.0000 0.0000
Ir4 0.3843 0.8843 0.0000
Pd4 0.3163 0.1837 0.5000

## Properties
The symmetry is P4/mbm, No. 127. The excess energy over the best structure of this formula in the dataset is 0.000 eV per formula unit. The calculation puts the calculated formation energy at 0.15 eV/atom. For the total energy, the calculation gives -5.8524 eV per atom.